(1)
Here is a geometry-optimized Dy6TeAs3S2 structure from Alexandria via LeMat-Bulk. Energies are from PBE.

The calculation puts the magnetic moment at 0.00 μB per cell. Its total energy is -145.79 eV per cell.

The space group is C2/m (No. 12) and the conventional cell measures 17.8384, 4.0920 and 8.2132 Å, with angles of 90.00, 103.22 and 90.00 degrees. The distinct sites, in fractional coordinates, are Dy at (0.0028, 0.0000, 0.2718), Dy at (0.1678, 0.5000, 0.5837), Dy at (0.1756, 0.5000, 0.0885), Te at (0.0000, 0.5000, 0.0000), As at (0.0000, 0.5000, 0.5000), As at (0.1631, 0.0000, 0.8316) and S at (0.1687, 0.0000, 0.3352).

(2)
Here is a geometry-optimized Dy6Te3As2S structure from Alexandria via LeMat-Bulk. Energies are from PBE.

The calculation puts the magnetic moment at 0.00 μB per cell. Its total energy is -138.04 eV per cell.

The space group is C2/m (No. 12) and the conventional cell measures 18.5118, 4.1565 and 8.5086 Å, with angles of 90.00, 105.45 and 90.00 degrees. The distinct sites, in fractional coordinates, are Dy at (0.0061, 0.0000, 0.2214), Dy at (0.1546, 0.5000, 0.0968), Dy at (0.1734, 0.5000, 0.5640), Te at (0.0000, 0.5000, 0.5000), Te at (0.1681, 0.0000, 0.8339), As at (0.1660, 0.0000, 0.3312) and S at (0.0000, 0.5000, 0.0000).

(3)
Here is a geometry-optimized DyThAsS structure from Alexandria via LeMat-Bulk. Energies are from PBE.

The calculation puts the magnetic moment at 0.00 μB per cell. Its total energy is -27.50 eV per cell.

The space group is P4/mmm (No. 123) and the conventional cell measures 4.0680, 4.0680 and 5.8512 Å, with angles of 90.00, 90.00 and 90.00 degrees. The distinct sites, in fractional coordinates, are Dy at (0.0000, 0.0000, 0.0000), Th at (0.5000, 0.5000, 0.5000), As at (0.5000, 0.5000, 0.0000) and S at (0.0000, 0.0000, 0.5000).

(4)
Here is a geometry-optimized DyTl2AsS4 structure from Alexandria via LeMat-Bulk. Energies are from PBE.

The calculation puts the magnetic moment at 0.00 μB per cell. Its total energy is -146.38 eV per cell.

The space group is Imma (No. 74) and the conventional cell measures 8.2447, 8.2492 and 11.6785 Å, with angles of 90.00, 90.00 and 90.00 degrees. The distinct sites, in fractional coordinates, are Dy at (0.0000, 0.0000, 0.0000), Tl at (0.0000, 0.0000, 0.5000), Tl at (0.2500, 0.2500, 0.2500), As at (0.2500, 0.2500, 0.7500), S at (0.0000, 0.0396, 0.7635) and S at (0.2204, 0.2500, 0.9778).

(5)
Here is a geometry-optimized Dy6TlAs2S3 structure from Alexandria via LeMat-Bulk. Energies are from PBE.

The calculation puts the magnetic moment at 0.00 μB per cell. Its total energy is -139.98 eV per cell.

The space group is C2/m (No. 12) and the conventional cell measures 17.7400, 4.0216 and 8.2154 Å, with angles of 90.00, 103.14 and 90.00 degrees. The distinct sites, in fractional coordinates, are Dy at (0.0012, 0.0000, 0.2304), Dy at (0.1681, 0.5000, 0.0825), Dy at (0.1722, 0.5000, 0.5868), Tl at (0.0000, 0.5000, 0.5000), As at (0.1668, 0.0000, 0.8342), S at (0.0000, 0.5000, 0.0000) and S at (0.1682, 0.0000, 0.3316).

(6)
Here is a geometry-optimized DyTmAsS structure from Alexandria via LeMat-Bulk. Energies are from PBE.

The calculation puts the magnetic moment at 0.00 μB per cell. Its total energy is -24.97 eV per cell.

The space group is P4/mmm (No. 123) and the conventional cell measures 3.9831, 3.9831 and 5.6529 Å, with angles of 90.00, 90.00 and 90.00 degrees. The distinct sites, in fractional coordinates, are Dy at (0.0000, 0.0000, 0.0000), Tm at (0.5000, 0.5000, 0.5000), As at (0.0000, 0.0000, 0.5000) and S at (0.5000, 0.5000, 0.0000).

(7)
Here is a geometry-optimized DyUAsS2 structure from Alexandria via LeMat-Bulk. Energies are from PBE.

The calculation puts the magnetic moment at 4.01 μB per cell. Its total energy is -67.67 eV per cell.

The space group is I4mm (No. 107) and the conventional cell measures 4.1846, 4.1846 and 13.4071 Å, with angles of 90.00, 90.00 and 90.00 degrees. The distinct sites, in fractional coordinates, are Dy at (0.0000, 0.0000, 0.0000), U at (0.0000, 0.0000, 0.2531), As at (0.0000, 0.0000, 0.6408) and S at (0.0000, 0.5000, 0.3773).

(8)
Here is a geometry-optimized DyYAsS structure from Alexandria via LeMat-Bulk. Energies are from PBE.

The calculation puts the magnetic moment at 0.00 μB per cell. Its total energy is -27.06 eV per cell.

The space group is P4/mmm (No. 123) and the conventional cell measures 4.0204, 4.0204 and 5.6922 Å, with angles of 90.00, 90.00 and 90.00 degrees. The distinct sites, in fractional coordinates, are Dy at (0.0000, 0.0000, 0.0000), Y at (0.5000, 0.5000, 0.5000), As at (0.0000, 0.0000, 0.5000) and S at (0.5000, 0.5000, 0.0000).

(9)
Here is a geometry-optimized DyZnAsS structure from Alexandria via LeMat-Bulk. Energies are from PBE.

The calculation puts the magnetic moment at 0.00 μB per cell. Its total energy is -114.91 eV per cell.

The space group is R-3m (No. 166, hexagonal axes) and the conventional cell measures 4.2969, 4.2969 and 33.3932 Å, with angles of 90.00, 90.00 and 120.00 degrees. The distinct sites, in fractional coordinates, are Dy at (0.0000, 0.0000, 0.1092), Zn at (0.0000, 0.0000, 0.3057), As at (0.0000, 0.0000, 0.3837) and S at (0.0000, 0.0000, 0.1971).

(10)
Here is a geometry-optimized DyZrAsS structure from Alexandria via LeMat-Bulk. Energies are from PBE.

The calculation puts the magnetic moment at 0.00 μB per cell. Its total energy is -163.33 eV per cell.

The space group is R-3m (No. 166, hexagonal axes) and the conventional cell measures 4.6258, 4.6258 and 30.3095 Å, with angles of 90.00, 90.00 and 120.00 degrees. The distinct sites, in fractional coordinates, are Dy at (0.0000, 0.0000, 0.1170), Zr at (0.0000, 0.0000, 0.2972), As at (0.0000, 0.0000, 0.3867) and S at (0.0000, 0.0000, 0.2062).

(11)
Here is a geometry-optimized Dy2SbAs structure from Alexandria via LeMat-Bulk. Energies are from PBE.

The calculation puts the magnetic moment at 0.00 μB per cell. Its total energy is -68.50 eV per cell.

The space group is R3m (No. 160, hexagonal axes) and the conventional cell measures 4.2099, 4.2099 and 21.5919 Å, with angles of 90.00, 90.00 and 120.00 degrees. The distinct sites, in fractional coordinates, are Dy at (0.0000, 0.0000, 0.0000), Dy at (0.0000, 0.0000, 0.1811), Sb at (0.0000, 0.0000, 0.7580) and As at (0.0000, 0.0000, 0.5886).

(12)
Here is a geometry-optimized Dy2SbAs structure from Alexandria via LeMat-Bulk. Energies are from PBE.

The calculation puts the magnetic moment at 0.00 μB per cell. Its total energy is -69.74 eV per cell.

The space group is R-3m (No. 166, hexagonal axes) and the conventional cell measures 4.2323, 4.2323 and 21.0040 Å, with angles of 90.00, 90.00 and 120.00 degrees. The distinct sites, in fractional coordinates, are Dy at (0.0000, 0.0000, 0.2441), Sb at (0.0000, 0.0000, 0.0000) and As at (0.0000, 0.0000, 0.5000).

Raw formation energy? In order: -1.662, -1.547, -1.676, -0.763, -1.528, -1.780, -1.008, -1.803, -1.125, -1.324, -1.214, -1.317 eV/atom.